(1)
Density functional theory data (GGA-PBE) for a geometry-optimized Te2OsRh structure.

a b c (Å): 4.7924 4.7924 4.7924
angles (deg): 60.00 60.00 60.00
Atoms (fractional coordinates):
Te 0.0000 0.0000 0.0000
Te 0.2500 0.2500 0.2500
Os 0.5000 0.5000 0.5000
Rh 0.7500 0.7500 0.7500

Output
* energy relative to the elements, uncorrected: 1.0216 eV/atom
* symmetry: F-43m, No. 216
* ΔE to the lowest computed polymorph: 1045 meV/atom
* density of states at the Fermi level: 5.3 states/eV per cell
* mass density: 11.7 g cm⁻³

=====

(2)
Density functional theory data (GGA-PBE) for a geometry-optimized Ba2ZnGa3Ge4 structure.

a b c (Å): 4.7934 4.7934 10.1679
angles (deg): 90.00 90.00 90.00
Atoms (fractional coordinates):
Ba 0.0000 0.5000 0.2495
Ba 0.5000 0.0000 0.7505
Zn 0.0000 0.0000 0.5000
Ga 0.0000 0.5000 0.8808
Ga 0.5000 0.0000 0.1192
Ga 0.5000 0.5000 0.5000
Ge 0.0000 0.0000 0.0000
Ge 0.0000 0.5000 0.6248
Ge 0.5000 0.0000 0.3752
Ge 0.5000 0.5000 0.0000

Output
* symmetry: P-4m2, No. 115
* density of states at the Fermi level: 2.8 states/eV per cell
* mass density: 6.0 g cm⁻³
* ΔH_f (0 K): -0.371 eV per atom

=====

| no. | total DFT energy (no corrections) (eV per atom) |
| --- | --- |
| 1 | -5.195 |
| 2 | -3.638 |